1.
Entry from OQMD via LeMat-Bulk: a relaxed structure of ErGaPO (PBE).

Cell: 5.577 5.577 4.641 Å, 90.00 90.00 90.00°
Space group P4/nmm (No. 129, origin choice 2)
Unique sites:
Er  0.250  0.750  0.000 [2 per cell]
Ga  0.250  0.250  0.499 [2 per cell]
P  0.250  0.250  0.999 [2 per cell]
O  0.250  0.750  0.500 [2 per cell]

relative energy among the computed polymorphs = 1.08 eV/f.u.
crystal system = tetragonal

---

2.
Entry from OQMD via LeMat-Bulk: a relaxed structure of Er2GaOs3 (PBE).

Cell: 5.3683 5.3683 8.6034 Å, 90.00 90.00 120.00°
Space group P6_3/mmc (No. 194)
Unique sites:
Er  0.3333  0.6667  0.0679 [4 per cell]
Ga  0.0000  0.0000  0.0000 [2 per cell]
Os  0.1722  0.3443  0.7500 [6 per cell]

crystal system = hexagonal
total DFT energy (no corrections) = -8.01 eV per atom

---

3.
Entry from OQMD via LeMat-Bulk: a relaxed structure of Er2Ga10Os3 (PBE).

Cell: 8.887 8.887 6.374 Å, 90.00 90.00 90.00°
Space group P4/mbm (No. 127)
Unique sites:
Er  0.183  0.317  0.000 [4 per cell]
Ga  0.000  0.500  0.284 [4 per cell]
Ga  0.061  0.793  0.293 [16 per cell]
Os  0.000  0.000  0.000 [2 per cell]
Os  0.179  0.321  0.500 [4 per cell]

crystal system = tetragonal
total DFT energy (no corrections) = -5.29 eV per atom